Cs3CeNd3Se8 after structural relaxation, computed with PBE.

a = 8.6890 Å, b = 8.6915 Å, c = 9.9058 Å
α = 116.06°, β = 90.00°, γ = 119.99°
Element x y z (fractional)
Nd1 0.5000 0.0000 0.5000
Cs1 0.0000 0.5000 0.0000
Nd2 0.0000 0.5000 0.5000
Cs2 0.5000 0.5000 0.0000
Cs3 0.0000 0.0000 0.0000
Se1 0.2700 0.5401 0.3104
Se2 0.2623 0.0392 0.3164
Se3 0.7769 0.0392 0.3164
Se4 0.2231 0.9608 0.6836
Se5 0.7377 0.9608 0.6836
Se6 0.2231 0.4463 0.6836
Ce1 0.0000 0.0000 0.5000
Se7 0.7300 0.4599 0.6896
Se8 0.7769 0.5537 0.3164
Nd3 0.5000 0.5000 0.5000

Formation energy (no corrections) ... -1.72 eV/atom
Total magnetic moment ... 0.0 μB/f.u.


Cs4CeNd3Se8 after structural relaxation, computed with PBE.

a = 8.8346 Å, b = 9.8229 Å, c = 8.8347 Å
α = 116.74°, β = 120.00°, γ = 90.00°
Each line ends with the local moment (μB).
Element x y z (fractional)
Cs1 0.0000 0.0000 0.0000  0.00
Se1 0.2698 0.3095 0.5395  0.00
Se2 0.2302 0.6898 0.9599  -0.01
Se3 0.7698 0.3102 0.5396  -0.01
Se4 0.7297 0.6898 0.9599  -0.01
Nd1 0.5000 0.5000 0.0000  0.00
Ce1 0.0000 0.5000 0.0000  0.95
Se5 0.2302 0.6898 0.4604  -0.01
Cs2 0.5000 0.0000 0.5000  0.00
Cs3 0.5000 0.0000 0.0000  0.00
Se6 0.2703 0.3102 0.0401  -0.01
Se7 0.7302 0.6905 0.4605  0.00
Se8 0.7698 0.3102 0.0401  -0.01
Cs4 0.0000 0.0000 0.5000  0.00
Nd2 0.5000 0.5000 0.5000  0.00
Nd3 0.0000 0.5000 0.5000  0.00

Formation energy (no corrections) ... -1.71 eV/atom
Total magnetic moment ... 1.0 μB/f.u.